(1)
The following is a PBE calculation of a relaxed RbCuReIr crystal, from the Open Quantum Materials Database.

Output
Its distance to the lowest polymorph of the same formula is 0 meV/atom. Its space-group type is No. 216.

Lattice parameters (Å, degrees): 4.5923 4.5923 4.5923 60.00 60.00 60.00
Positions (direct):
1 Rb 0.0000 0.0000 0.0000
2 Cu 0.7500 0.7500 0.7500
3 Re 0.2500 0.2500 0.2500
4 Ir 0.5000 0.5000 0.5000

=====

(2)
The following is a PBE calculation of a relaxed Rb2TlCuBr6 crystal, from the Open Quantum Materials Database.

Output
Its distance to the lowest polymorph of the same formula is 4 meV/atom. Its space-group type is No. 225.

Lattice parameters (Å, degrees): 7.7405 7.7405 7.7405 60.00 60.00 60.00
Positions (direct):
1 Rb 0.2500 0.2500 0.2500
2 Rb 0.7500 0.7500 0.7500
3 Tl 0.0000 0.0000 0.0000
4 Cu 0.5000 0.5000 0.5000
5 Br 0.2626 0.2626 0.7374
6 Br 0.2626 0.7374 0.2626
7 Br 0.2626 0.7374 0.7374
8 Br 0.7374 0.2626 0.2626
9 Br 0.7374 0.2626 0.7374
10 Br 0.7374 0.7374 0.2626

=====

(3)
The following is a PBE calculation of a relaxed Rb2Pr2O5 crystal, from the Open Quantum Materials Database.

Output
Its distance to the lowest polymorph of the same formula is 0 meV/atom. Its space-group type is No. 123.

Lattice parameters (Å, degrees): 4.5227 4.5227 9.4225 90.00 90.00 90.00
Positions (direct):
1 Rb 0.0000 0.0000 0.0000
2 Rb 0.0000 0.0000 0.5000
3 Pr 0.5000 0.5000 0.2364
4 Pr 0.5000 0.5000 0.7636
5 O 0.0000 0.5000 0.2901
6 O 0.0000 0.5000 0.7099
7 O 0.5000 0.0000 0.2901
8 O 0.5000 0.0000 0.7099
9 O 0.5000 0.5000 0.0000

=====

(4)
The following is a PBE calculation of a relaxed LaLuS3 crystal, from the Open Quantum Materials Database.

Output
Its distance to the lowest polymorph of the same formula is 3 meV/atom. Its space-group type is No. 33.

Lattice parameters (Å, degrees): 7.3533 6.6877 9.8796 90.00 90.00 90.00
Positions (direct):
1 La 0.0945 0.0360 0.0000
2 La 0.4055 0.5360 0.5000
3 La 0.5945 0.4640 0.0000
4 La 0.9055 0.9640 0.5000
5 Lu 0.0029 0.5013 0.7509
6 Lu 0.4971 0.0013 0.2509
7 Lu 0.5029 0.9987 0.7509
8 Lu 0.9971 0.4987 0.2509
9 S 0.0454 0.3658 0.5006
10 S 0.1857 0.8209 0.3160
11 S 0.1895 0.8226 0.6830
12 S 0.3105 0.3226 0.1830
13 S 0.3143 0.3209 0.8160
14 S 0.4546 0.8658 0.0006
15 S 0.5454 0.1342 0.5006
16 S 0.6857 0.6791 0.3160
17 S 0.6895 0.6774 0.6830
18 S 0.8105 0.1774 0.1830
19 S 0.8143 0.1791 0.8160
20 S 0.9546 0.6342 0.0006